The following is a PBE-GGA calculation of a relaxed LaVN3 crystal, from Alexandria via LeMat-Bulk.

Formation energy (no corrections) in kJ/mol of atoms: -86
DOS(E_F) in states/eV/cell: 4.3
E_tot in eV per atom: -8.700
Density in g cm⁻³: 5.78

Cell lengths 3.752, 5.268, 6.831 Å; angles 90.00, 99.32, 90.00 degrees
Element x y z (fractional)
1 La 0.140 0.000 0.339
2 La 0.860 0.500 0.661
3 V 0.466 0.046 0.858
4 V 0.534 0.546 0.142
5 N 0.044 0.496 0.240
6 N 0.313 0.502 0.404
7 N 0.462 0.391 0.895
8 N 0.538 0.891 0.105
9 N 0.687 0.002 0.596
10 N 0.956 0.996 0.760


The following is a PBE-GGA calculation of a relaxed Sc2SnHRu crystal, from Alexandria via LeMat-Bulk.

DOS(E_F) in states/eV/cell: 2.3
E_tot in eV per atom: -6.416
Density in g cm⁻³: 6.59

Cell lengths 4.509, 4.509, 3.852 Å; angles 90.00, 90.00, 90.00 degrees
Element x y z (fractional)
1 Sc 0.000 0.500 0.000
2 Sc 0.500 0.000 0.000
3 Sn 0.000 0.000 0.500
4 H 0.500 0.500 0.000
5 Ru 0.500 0.500 0.500


The following is a PBE-GGA calculation of a relaxed TbPrH2 crystal, from Alexandria via LeMat-Bulk.

DOS(E_F) in states/eV/cell: 2.4
E_tot in eV per atom: -4.410
Density in g cm⁻³: 7.72

Cell lengths 6.193, 6.193, 6.193 Å; angles 33.65, 33.65, 33.65 degrees
Element x y z (fractional)
1 Tb 0.000 0.000 0.000
2 Pr 0.500 0.500 0.500
3 H 0.257 0.257 0.257
4 H 0.743 0.743 0.743


The following is a PBE-GGA calculation of a relaxed PrDy3Pb crystal, from Alexandria via LeMat-Bulk.

Formation enthalpy at 0 K in eV/atom: -0.1626
DOS(E_F) in states/eV/cell: 21.9
E_tot in eV per atom: -4.621
Density in g cm⁻³: 8.78

Cell lengths 7.984, 9.318, 10.389 Å; angles 90.00, 125.17, 90.00 degrees
Element x y z (fractional)
1 Pr 0.223 0.080 0.332
2 Pr 0.223 0.420 0.832
3 Pr 0.777 0.580 0.168
4 Pr 0.777 0.920 0.668
5 Dy 0.097 0.676 0.010
6 Dy 0.097 0.824 0.510
7 Dy 0.200 0.079 0.972
8 Dy 0.200 0.421 0.472
9 Dy 0.415 0.115 0.743
10 Dy 0.415 0.385 0.243
11 Dy 0.585 0.615 0.757
12 Dy 0.585 0.885 0.257
13 Dy 0.800 0.579 0.528
14 Dy 0.800 0.921 0.028
15 Dy 0.903 0.176 0.490
16 Dy 0.903 0.324 0.990
17 Pb 0.348 0.711 0.381
18 Pb 0.348 0.789 0.881
19 Pb 0.652 0.211 0.119
20 Pb 0.652 0.289 0.619


The following is a PBE-GGA calculation of a relaxed BaZnCdAu2 crystal, from Alexandria via LeMat-Bulk.

Formation enthalpy at 0 K in eV/atom: -0.3097
DOS(E_F) in states/eV/cell: 2.0
E_tot in eV per atom: -2.443
Density in g cm⁻³: 8.79

Cell lengths 5.139, 5.139, 5.072 Å; angles 90.00, 90.00, 90.00 degrees
Element x y z (fractional)
1 Ba 0.000 0.000 0.000
2 Zn 0.500 0.500 0.500
3 Cd 0.500 0.500 0.000
4 Au 0.000 0.500 0.500
5 Au 0.500 0.000 0.500


The following is a PBE-GGA calculation of a relaxed PrSiRu crystal, from Alexandria via LeMat-Bulk.

Formation energy (no corrections) in kJ/mol of atoms: -68
DOS(E_F) in states/eV/cell: 2.0
E_tot in eV per atom: -7.202
Density in g cm⁻³: 7.05

Cell lengths 7.623, 7.623, 7.623 Å; angles 147.53, 147.53, 46.57 degrees
Element x y z (fractional)
1 Pr 0.152 0.152 0.000
2 Pr 0.848 0.848 0.000
3 Si 0.405 0.405 0.000
4 Si 0.595 0.595 0.000
5 Ru 0.000 0.500 0.500
6 Ru 0.500 0.000 0.500


The following is a PBE-GGA calculation of a relaxed Pr2HoPuS4 crystal, from Alexandria via LeMat-Bulk.

Formation energy (no corrections) in kJ/mol of atoms: -189
DOS(E_F) in states/eV/cell: 8.5
E_tot in eV per atom: -7.584
Density in g cm⁻³: 7.44

Cell lengths 6.933, 3.985, 7.002 Å; angles 90.00, 109.06, 90.00 degrees
Element x y z (fractional)
1 Pr 0.000 0.000 0.000
2 Pr 0.500 0.500 0.000
3 Ho 0.000 0.500 0.500
4 Pu 0.500 0.000 0.500
5 S 0.241 0.000 0.733
6 S 0.253 0.500 0.266
7 S 0.747 0.500 0.734
8 S 0.759 0.000 0.267


The following is a PBE-GGA calculation of a relaxed Ho3As4Pd4 crystal, from Alexandria via LeMat-Bulk.

Formation enthalpy at 0 K in eV/atom: -1.0194
DOS(E_F) in states/eV/cell: 3.5
E_tot in eV per atom: -5.847
Density in g cm⁻³: 9.73

Cell lengths 8.121, 8.121, 8.121 Å; angles 150.18, 127.91, 61.18 degrees
Element x y z (fractional)
1 Ho 0.000 0.000 0.000
2 Ho 0.372 0.872 0.500
3 Ho 0.628 0.128 0.500
4 As 0.216 0.216 0.000
5 As 0.302 0.500 0.802
6 As 0.698 0.500 0.198
7 As 0.784 0.784 0.000
8 Pd 0.029 0.328 0.701
9 Pd 0.373 0.672 0.701
10 Pd 0.627 0.328 0.299
11 Pd 0.971 0.672 0.299